Entry 1:
## CaDyHoCd (PBE-GGA)

Data for a relaxed CaDyHoCd crystal.

Cell lengths 7.768, 7.768, 7.768 Å; angles 90.00, 90.00, 90.00 degrees
Space group F-43m (No. 216)
Unique sites:
Ca (0.000, 0.000, 0.000) [4 per cell]
Dy (0.250, 0.250, 0.250) [4 per cell]
Ho (0.250, 0.250, 0.750) [4 per cell]
Cd (0.000, 0.000, 0.500) [4 per cell]

## Properties
Fermi-level density of states, states/eV/atom: 1.106
DFT formation energy, eV per formula unit: 0.01
Calculated volume, A^3/atom: 29.30



Entry 2:
## CaDyCdIn (PBE-GGA)

Data for a relaxed CaDyCdIn crystal.

Cell lengths 7.571, 7.571, 7.571 Å; angles 90.00, 90.00, 90.00 degrees
Space group F-43m (No. 216)
Unique sites:
Ca (0.000, 0.000, 0.000) [4 per cell]
Dy (0.000, 0.000, 0.500) [4 per cell]
Cd (0.250, 0.250, 0.750) [4 per cell]
In (0.250, 0.250, 0.250) [4 per cell]

## Properties
Fermi-level density of states, states/eV/atom: 0.399
DFT formation energy, eV per formula unit: -1.69
Calculated volume, A^3/atom: 27.12



Entry 3:
## CaDyCdIr (PBE-GGA)

Data for a relaxed CaDyCdIr crystal.

Cell lengths 7.131, 7.131, 7.131 Å; angles 90.00, 90.00, 90.00 degrees
Space group F-43m (No. 216)
Unique sites:
Ca (0.000, 0.000, 0.000) [4 per cell]
Dy (0.000, 0.000, 0.500) [4 per cell]
Cd (0.250, 0.250, 0.750) [4 per cell]
Ir (0.250, 0.250, 0.250) [4 per cell]

## Properties
Fermi-level density of states, states/eV/atom: 0.869
DFT formation energy, eV per formula unit: -1.57
Calculated volume, A^3/atom: 22.66